Entry 1:
{"formula": "AcNdPuN4", "functional": "GGA-PBE", "state": "relaxed", "lattice_angstrom": [[4.202, 0.000, 0.000], [0.000, 4.202, 0.000], [-2.101, -2.101, 6.537]], "species": ["N", "N", "N", "N", "Pu", "Ac", "Nd"], "fractional_positions": [[0.172, 0.172, 0.343], [0.994, 0.494, 0.988], [0.836, 0.836, 0.673], [0.494, 0.994, 0.988], [0.999, 0.999, 0.998], [0.650, 0.650, 0.300], [0.355, 0.355, 0.711]], "e_form_raw_mev_per_atom": -1092, "density_g_cm3": 9.66, "final_energy_ev_per_atom": -9.17, "dos_ef_per_ev_atom": 0.542}

---

Entry 2:
{"formula": "KMn2CuAu", "functional": "GGA-PBE", "state": "relaxed", "lattice_angstrom": [[5.583, 0.000, 0.000], [0.000, 5.456, 0.000], [0.000, 0.000, 5.583]], "species": ["Mn", "Mn", "Au", "Cu", "K"], "fractional_positions": [[0.000, 0.000, 0.500], [0.500, 0.000, 0.000], [0.000, 0.500, 0.000], [0.500, 0.500, 0.500], [0.000, 0.000, 0.000]], "formation_energy_kcal_per_mol_atoms": 46.96, "density_g_cm3": 4.00, "final_energy_ev_per_atom": -3.33, "dos_ef_per_ev_atom": 1.181}

---

Entry 3:
{"formula": "Pm4Tl2CdRh", "functional": "GGA-PBE", "state": "relaxed", "lattice_angstrom": [[-2.586, -1.655, 4.419], [2.789, -1.405, 4.382], [-0.292, 7.129, 5.776]], "species": ["Tl", "Tl", "Pm", "Pm", "Pm", "Pm", "Rh", "Cd"], "fractional_positions": [[0.740, 0.740, 0.781], [0.260, 0.260, 0.219], [0.133, 0.133, 0.600], [0.388, 0.388, 0.837], [0.867, 0.867, 0.400], [0.612, 0.612, 0.163], [0.500, 0.500, 0.500], [0.000, 0.000, 0.000]], "formation_energy_kcal_per_mol_atoms": -9.77, "density_g_cm3": 9.23, "final_energy_ev_per_atom": -4.42, "dos_ef_per_ev_atom": 0.723}

---

Entry 4:
{"formula": "ThNbAs2N", "functional": "GGA-PBE", "state": "relaxed", "lattice_angstrom": [[3.849, 0.000, 0.000], [0.000, 3.849, 0.000], [0.000, 0.000, 13.857]], "species": ["Nb", "Nb", "Th", "Th", "N", "N", "As", "As", "As", "As"], "fractional_positions": [[0.500, 0.000, 0.087], [0.000, 0.500, 0.913], [0.500, 0.000, 0.591], [0.000, 0.500, 0.409], [0.000, 0.000, 0.500], [0.500, 0.500, 0.500], [0.000, 0.500, 0.731], [0.000, 0.500, 0.109], [0.500, 0.000, 0.891], [0.500, 0.000, 0.269]], "e_form_raw_mev_per_atom": -795, "density_g_cm3": 7.91, "final_energy_ev_per_atom": -7.82, "dos_ef_per_ev_atom": 0.822}